First-principles (PBE) data for an optimized crystal structure of BeZnIO2, as listed in Alexandria.

```
5
Lattice="3.6104 0.0000 0.0000 0.0000 3.6104 0.0000 0.0000 0.0000 6.0754" Properties=species:S:1:pos:R:3 pbc="T T T"
Be 0.0000 0.0000 0.0000
Zn 1.8052 1.8052 3.0377
I 0.0000 0.0000 3.0377
O 0.0000 1.8052 0.0000
O 1.8052 0.0000 0.0000
```

Properties
The calculation puts the density of states at the Fermi level at 0.758 states/eV/atom. The space group is P4/mmm (123). As for the polymorph energy (0 for the lowest one): 0 meV/atom. Its raw formation energy is -0.2682 eV/atom.



First-principles (PBE) data for an optimized crystal structure of BeZnIO2, as listed in Alexandria.

```
5
Lattice="3.7414 0.0000 0.0000 0.0000 3.7414 0.0000 0.0000 0.0000 6.4208" Properties=species:S:1:pos:R:3 pbc="T T T"
Be 0.0000 0.0000 0.0000
Zn 1.8707 1.8707 3.2104
I 1.8707 1.8707 0.0000
O 0.0000 1.8707 3.2104
O 1.8707 0.0000 3.2104
```

Properties
The calculation puts the density of states at the Fermi level at 0.500 states/eV/atom. The space group is P4/mmm (123). As for the polymorph energy (0 for the lowest one): 421 meV/atom. Its raw formation energy is 0.1524 eV/atom.



First-principles (PBE) data for an optimized crystal structure of BeZnI2O, as listed in Alexandria.

```
5
Lattice="5.6661 0.0000 0.0000 0.0000 5.6661 0.0000 0.0000 0.0000 3.6939" Properties=species:S:1:pos:R:3 pbc="T T T"
Be 0.0000 0.0000 0.0000
Zn 2.8331 2.8331 1.8469
I 0.0000 2.8331 1.8469
I 2.8331 0.0000 1.8469
O 2.8331 2.8331 0.0000
```

Properties
The calculation puts the density of states at the Fermi level at 1.765 states/eV/atom. The space group is P4/mmm (123). As for the polymorph energy (0 for the lowest one): 965 meV/atom. Its raw formation energy is 0.3133 eV/atom.



First-principles (PBE) data for an optimized crystal structure of Be2ZnIO6, as listed in Alexandria.

```
20
Lattice="4.9932 -4.2958 0.0000 4.9932 4.2958 0.0000 -2.1381 0.0000 5.0989" Properties=species:S:1:pos:R:3 pbc="T T T"
Be 1.6922 0.6562 0.8568
Be 0.6231 -0.6562 3.4062
Be 7.2252 0.6562 1.6927
Be 6.1561 -0.6562 4.2421
Zn 3.3896 0.8355 3.8242
Zn 4.4587 -0.8355 1.2747
I 4.4587 2.4052 1.2747
I 3.3896 -2.4052 3.8242
O -0.2055 0.4463 4.2848
O 2.1023 2.3019 4.4189
O 0.8635 -0.4463 1.7353
O 3.1285 0.8573 1.6379
O 4.6769 2.3019 3.2294
O 2.0594 -0.8573 4.1873
O 5.7889 0.8573 0.9116
O 3.1714 -2.3019 1.8695
O 4.7198 -0.8573 3.4610
O 6.9848 0.4463 3.3636
O 5.7460 -2.3019 0.6800
O 8.0538 -0.4463 0.8141
```

Properties
The calculation puts the density of states at the Fermi level at 0.382 states/eV/atom. The space group is C2/c (15). Its raw formation energy is -1.3462 eV/atom.



First-principles (PBE) data for an optimized crystal structure of BeZnI2O, as listed in Alexandria.

```
5
Lattice="6.8082 0.0000 0.0000 0.0000 6.8082 0.0000 0.0000 0.0000 2.9156" Properties=species:S:1:pos:R:3 pbc="T T T"
Be 0.0000 0.0000 0.0000
Zn 3.4041 3.4041 1.4578
I 0.0000 3.4041 0.0000
I 3.4041 0.0000 0.0000
O 0.0000 0.0000 1.4578
```

Properties
The calculation puts the density of states at the Fermi level at 0.803 states/eV/atom. The space group is P4/mmm (123). As for the polymorph energy (0 for the lowest one): 0 meV/atom. Its raw formation energy is -0.6517 eV/atom.



First-principles (PBE) data for an optimized crystal structure of ZrBeI2O, as listed in Alexandria.

```
5
Lattice="5.8885 0.0000 0.0000 0.0000 5.8885 0.0000 0.0000 0.0000 4.0204" Properties=species:S:1:pos:R:3 pbc="T T T"
Zr 0.0000 0.0000 0.0000
Be 2.9443 2.9443 2.0102
I 0.0000 2.9443 0.0000
I 2.9443 0.0000 0.0000
O 0.0000 0.0000 2.0102
```

Properties
The calculation puts the density of states at the Fermi level at 0.498 states/eV/atom. The space group is P4/mmm (123). As for the polymorph energy (0 for the lowest one): 0 meV/atom. Its raw formation energy is -0.5570 eV/atom.



raw formation energy of number 1 (BeZnIO2)?
-0.2682 eV/atom